Computed, not measured: a geometry-optimized CrHg2Os structure at the PBE-GGA level of DFT.

Cell and atoms, written as CIF:
```
data_CrHg2Os
_symmetry_space_group_name_H-M 'I -4 2 d'
_symmetry_Int_Tables_number 122
_symmetry_space_group_name_Hall 'I -4 2bw'
_cell_length_a 7.574
_cell_length_b 7.574
_cell_length_c 5.504
_cell_angle_alpha 90.00
_cell_angle_beta 90.00
_cell_angle_gamma 90.00
loop_
_atom_site_label
_atom_site_type_symbol
_atom_site_fract_x
_atom_site_fract_y
_atom_site_fract_z
_atom_site_occupancy
Cr1 Cr 0.000 0.000 0.000 1
Hg1 Hg 0.244 0.250 0.625 1
Os1 Os 0.000 0.000 0.500 1
```

- Energy above the most stable polymorph in this dataset: 784 meV/atom

***

Computed, not measured: a geometry-optimized BaMo2Pb structure at the PBE-GGA level of DFT.

Cell and atoms, written as CIF:
```
data_BaMo2Pb
_symmetry_space_group_name_H-M 'C 1 2/m 1'
_symmetry_Int_Tables_number 12
_cell_length_a 10.358
_cell_length_b 3.531
_cell_length_c 6.358
_cell_angle_alpha 90.00
_cell_angle_beta 101.39
_cell_angle_gamma 90.00
loop_
_symmetry_equiv_pos_as_xyz
'x,y,z'
'-x,-y,-z'
'-x,y,-z'
'x,-y,z'
'x+1/2,y+1/2,z'
'-x+1/2,-y+1/2,-z'
'-x+1/2,y+1/2,-z'
'x+1/2,-y+1/2,z'
loop_
_atom_site_label
_atom_site_type_symbol
_atom_site_fract_x
_atom_site_fract_y
_atom_site_fract_z
_atom_site_occupancy
Ba1 Ba 0.000 0.000 0.000 1
Mo1 Mo 0.238 0.000 0.623 1
Pb1 Pb 0.000 0.500 0.500 1
```

- E_tot: -6.1758 eV/atom

***

Computed, not measured: a geometry-optimized PmDy structure at the PBE-GGA level of DFT.

Cell and atoms, written as CIF:
```
data_PmDy
_symmetry_space_group_name_H-M 'P m -3 m'
_symmetry_Int_Tables_number 221
_symmetry_space_group_name_Hall '-P 4 2 3'
_cell_length_a 4.053
_cell_length_b 4.053
_cell_length_c 4.053
_cell_angle_alpha 90.00
_cell_angle_beta 90.00
_cell_angle_gamma 90.00
loop_
_atom_site_label
_atom_site_type_symbol
_atom_site_fract_x
_atom_site_fract_y
_atom_site_fract_z
_atom_site_occupancy
Pm1 Pm 0.000 0.000 0.000 1
Dy1 Dy 0.500 0.500 0.500 1
```

- Energy above the most stable polymorph in this dataset: 103 meV/atom

***

Number 3 is which compound? PmDy